No. 1
First-principles (PBE) data for an optimized crystal structure of BaSrMn2, as listed in the Alexandria database.

Structure (POSCAR):
```
BaSrMn2
1.0
5.624 -2.341 0.000
5.624 2.341 0.000
-4.541 0.000 5.801
Ba Sr Mn
1 1 2
Direct
0.000 0.000 0.000 Ba
0.500 0.500 0.500 Sr
0.244 0.244 0.580 Mn
0.756 0.756 0.420 Mn
```

## Properties
Distance to the lowest polymorph of the same formula, eV per formula unit: 1.11

***

No. 2
First-principles (PBE) data for an optimized crystal structure of Sm4HgSb2, as listed in the Alexandria database.

Structure (POSCAR):
```
Sm4HgSb2
1.0
7.986 -2.151 0.000
7.986 2.151 0.000
-3.582 0.000 6.783
Sm Hg Sb
4 1 2
Direct
0.119 0.119 0.269 Sm
0.377 0.377 0.180 Sm
0.623 0.623 0.820 Sm
0.881 0.881 0.731 Sm
0.000 0.000 0.500 Hg
0.242 0.242 0.733 Sb
0.758 0.758 0.267 Sb
```

## Properties
Total energy, eV/cell: -31.88

***

No. 3
First-principles (PBE) data for an optimized crystal structure of TbHo4Er2Mg, as listed in the Alexandria database.

Structure (POSCAR):
```
TbHo4Er2Mg
1.0
4.929 0.000 0.000
0.000 4.929 0.000
0.000 0.000 9.902
Tb Ho Er Mg
1 4 2 1
Direct
0.000 0.000 0.000 Tb
0.000 0.500 0.252 Ho
0.000 0.500 0.748 Ho
0.500 0.000 0.252 Ho
0.500 0.000 0.748 Ho
0.000 0.000 0.500 Er
0.500 0.500 0.000 Er
0.500 0.500 0.500 Mg
```

## Properties
Total energy, eV/cell: -33.49

***

No. 4
First-principles (PBE) data for an optimized crystal structure of Pa2TcNi, as listed in the Alexandria database.

Structure (POSCAR):
```
Pa2TcNi
1.0
6.848 0.000 0.000
0.000 5.411 0.000
-6.632 0.000 8.523
Pa Tc Ni
8 4 4
Direct
0.178 0.149 0.343 Pa
0.178 0.351 0.843 Pa
0.280 0.663 0.600 Pa
0.280 0.837 0.100 Pa
0.720 0.163 0.900 Pa
0.720 0.337 0.400 Pa
0.822 0.649 0.157 Pa
0.822 0.851 0.657 Pa
0.211 0.159 0.617 Tc
0.211 0.341 0.117 Tc
0.789 0.659 0.883 Tc
0.789 0.841 0.383 Tc
0.377 0.666 0.381 Ni
0.377 0.834 0.881 Ni
0.623 0.166 0.119 Ni
0.623 0.334 0.619 Ni
```

## Properties
Distance to the lowest polymorph of the same formula, eV per formula unit: 0.00

***

No. 5
First-principles (PBE) data for an optimized crystal structure of ErHfRu, as listed in the Alexandria database.

Structure (POSCAR):
```
ErHfRu
1.0
-1.659 1.659 5.722
1.659 -1.659 5.722
1.659 1.659 -5.722
Er Hf Ru
1 1 1
Direct
0.000 0.000 0.000 Er
0.286 0.286 0.000 Hf
0.662 0.662 0.000 Ru
```

## Properties
Distance to the lowest polymorph of the same formula, eV per formula unit: 0.24

***

No. 6
First-principles (PBE) data for an optimized crystal structure of Ce2PrSb, as listed in the Alexandria database.

Structure (POSCAR):
```
Ce2PrSb
1.0
4.216 0.000 0.000
0.000 4.216 0.000
0.000 0.000 6.913
Ce Pr Sb
2 1 1
Direct
0.000 0.000 0.194 Ce
0.000 0.000 0.806 Ce
0.500 0.500 0.500 Pr
0.500 0.500 0.000 Sb
```

## Properties
Distance to the lowest polymorph of the same formula, eV per formula unit: 0.46

***

Number 1: total magnetic moment 7.3 μB/cell. Number 2: total magnetic moment 0.0 μB/cell. Number 3: total magnetic moment 0.0 μB/cell. Number 4: total magnetic moment 0.0 μB/cell. Number 5: total magnetic moment 1.1 μB/cell. Number 6: total magnetic moment 1.3 μB/cell.